SrLi3Hf: optimized geometry, GGA-PBE.

The structure in POSCAR format:
```
SrLi3Hf
1.0
4.961 0.000 0.000
0.000 4.961 0.000
0.000 0.000 4.961
Sr Hf Li
1 1 3
direct
0.000 0.000 0.000
0.500 0.500 0.500
0.000 0.500 0.000
0.000 0.000 0.500
0.500 0.000 0.000
```

Properties
The distance to the lowest polymorph of the same formula comes out at 0.3272 eV/atom. As for the formation energy: 1.23 eV/atom. Its total magnetization is 1.991 μB per formula unit. Its total DFT energy (no corrections) is -2.2471 eV/atom.


CaTbPrLu: optimized geometry, GGA-PBE.

The structure in POSCAR format:
```
CaTbPrLu
1.0
-4.946 2.787 -1.056
-4.653 -2.938 -1.750
-4.503 -0.662 3.554
Pr Ca Lu Tb
1 1 1 1
direct
0.000 0.000 0.000
0.750 0.750 0.750
0.250 0.250 0.250
0.500 0.500 0.500
```

Properties
As for the formation energy: 0.12 eV/atom. Its total magnetization is 0.000 μB per formula unit. Its total DFT energy (no corrections) is -3.8588 eV/atom.


HfZr2Re: optimized geometry, GGA-PBE.

The structure in POSCAR format:
```
HfZr2Re
1.0
3.421 0.000 0.000
0.000 4.824 0.000
0.000 0.000 4.824
Re Hf Zr
1 1 2
direct
0.500 0.500 0.500
0.500 0.000 0.000
0.000 0.000 0.500
0.000 0.500 0.000
```

Properties
The distance to the lowest polymorph of the same formula comes out at 0.1076 eV/atom. As for the formation energy: 0.02 eV/atom. Its total magnetization is 0.000 μB per formula unit. Its total DFT energy (no corrections) is -9.8519 eV/atom.


CaRh: optimized geometry, GGA-PBE.

The structure in POSCAR format:
```
CaRh
1.0
-1.314 3.206 -0.246
-1.256 -0.757 -3.149
-6.885 -2.562 3.363
Ca Rh
2 2
direct
0.250 0.250 0.212
0.750 0.750 0.788
0.250 0.250 0.565
0.750 0.750 0.435
```

Properties
As for the formation energy: -0.07 eV/atom. Its total magnetization is 0.029 μB per formula unit. Its total DFT energy (no corrections) is -4.7448 eV/atom.


Ni2TeC: optimized geometry, GGA-PBE.

The structure in POSCAR format:
```
Ni2TeC
1.0
-2.696 -3.406 -1.465
-0.648 -1.351 4.332
-6.159 1.008 1.818
Ni C Te
4 2 2
direct
0.489 0.125 0.250
0.261 0.625 0.250
0.375 0.511 0.750
0.875 0.739 0.750
0.500 0.500 0.000
0.250 0.750 0.500
0.000 0.000 0.000
0.750 0.250 0.500
```

Properties
The distance to the lowest polymorph of the same formula comes out at 0.0000 eV/atom. As for the energy relative to the elements, uncorrected: 0.38 eV per atom. Its total magnetization is 0.000 μB per formula unit. Its total DFT energy (no corrections) is -5.6005 eV/atom.


YNbIr3: optimized geometry, GGA-PBE.

The structure in POSCAR format:
```
YNbIr3
1.0
-1.914 -3.952 1.936
2.997 0.375 3.729
-3.222 2.697 2.319
Y Nb Ir
1 1 3
direct
0.500 0.500 0.500
0.000 0.000 0.000
0.000 0.500 0.000
0.000 0.000 0.500
0.500 0.000 0.000
```

Properties
The distance to the lowest polymorph of the same formula comes out at 0.0000 eV/atom. As for the formation energy: 0.51 eV/atom. Its total magnetization is 0.000 μB per formula unit. Its total DFT energy (no corrections) is -8.1178 eV/atom.


Q: Look up the total DFT energy (no corrections) of the first one.
A: -2.2471 eV/atom


Q: Among the records above, which one has the highest total magnetization?
A: SrLi3Hf


What did the first record say?
SrLi3Hf: optimized geometry, GGA-PBE.

The structure in POSCAR format:
```
SrLi3Hf
1.0
4.961 0.000 0.000
0.000 4.961 0.000
0.000 0.000 4.961
Sr Hf Li
1 1 3
direct
0.000 0.000 0.000
0.500 0.500 0.500
0.000 0.500 0.000
0.000 0.000 0.500
0.500 0.000 0.000
```

Properties
The distance to the lowest polymorph of the same formula comes out at 0.3272 eV/atom. As for the formation energy: 1.23 eV/atom. Its total magnetization is 1.991 μB per formula unit. Its total DFT energy (no corrections) is -2.2471 eV/atom.


Q: Look up the total magnetization of the second one.
A: 0.000 μB per formula unit